Compound: Na3Sr3SeO8
Source: Alexandria
Functional: PBE-GGA
Structure: relaxed

Properties
Formation energy (no corrections) ... -1.73 eV/atom
Space group ... No. 166
VASP energy ... -78.11 eV/f.u.
Size of the total moment ... 1.1 μB/cell

Cell: 7.087 7.087 6.882 Å, 121.00 90.00 120.00°
Sites, in units of the cell vectors:
Na  0.000  0.000  0.000
Na  0.000  0.500  0.000
Na  0.500  0.500  0.000
Sr  0.500  0.000  0.500
Sr  0.500  0.500  0.500
Sr  0.000  0.500  0.500
Se  0.000  0.000  0.500
O  0.256  0.512  0.268
O  0.744  0.488  0.732
O  0.811  0.622  0.307
O  0.189  0.378  0.693
O  0.811  0.996  0.307
O  0.189  0.004  0.693
O  0.186  0.996  0.307
O  0.814  0.004  0.693

=====

Compound: NaSrYSeO6
Source: Alexandria
Functional: PBE-GGA
Structure: relaxed

Properties
Formation energy (no corrections) ... -2.01 eV/atom
Space group ... No. 216
VASP energy ... -62.80 eV/f.u.
Size of the total moment ... 0.0 μB/cell

Cell: 5.694 5.694 5.694 Å, 60.00 60.00 60.00°
Sites, in units of the cell vectors:
Na  0.750  0.750  0.750
Sr  0.250  0.250  0.250
Y  0.500  0.500  0.500
Se  0.000  0.000  0.000
O  0.226  0.774  0.226
O  0.774  0.226  0.774
O  0.226  0.774  0.774
O  0.774  0.226  0.226
O  0.226  0.226  0.774
O  0.774  0.774  0.226

=====

Compound: Na2TaSe2O2
Source: Alexandria
Functional: PBE-GGA
Structure: relaxed

Properties
Formation energy (no corrections) ... -1.44 eV/atom
Space group ... No. 12
VASP energy ... -41.48 eV/f.u.
Size of the total moment ... 0.0 μB/cell

Cell: 3.717 6.853 7.040 Å, 50.27 74.69 74.26°
Sites, in units of the cell vectors:
Na  0.231  0.310  0.228
Na  0.769  0.690  0.772
Ta  0.000  0.000  0.000
Se  0.556  0.249  0.639
Se  0.444  0.751  0.361
O  0.154  0.757  0.936
O  0.846  0.243  0.064

=====

Compound: NaTaSe2O8
Source: Alexandria
Functional: PBE-GGA
Structure: relaxed

Properties
Formation energy (no corrections) ... -1.31 eV/atom
Space group ... No. 12
VASP energy ... -75.49 eV/f.u.
Size of the total moment ... 0.0 μB/cell

Cell: 5.011 5.011 7.148 Å, 89.42 89.42 77.69°
Sites, in units of the cell vectors:
Na  0.000  0.000  0.500
Ta  0.000  0.000  0.000
Se  0.596  0.596  0.232
Se  0.404  0.404  0.768
O  0.762  0.172  0.792
O  0.744  0.744  0.047
O  0.696  0.696  0.433
O  0.304  0.304  0.567
O  0.256  0.256  0.953
O  0.172  0.762  0.792
O  0.828  0.238  0.208
O  0.238  0.828  0.208

=====

Compound: NaTaSeO6
Source: Alexandria
Functional: PBE-GGA
Structure: relaxed

Properties
Formation energy (no corrections) ... -1.63 eV/atom
Space group ... No. 163
VASP energy ... -61.10 eV/f.u.
Size of the total moment ... 0.0 μB/cell

Cell: 5.152 5.152 10.378 Å, 90.00 90.00 120.00°
Sites, in units of the cell vectors:
Na  0.000  0.000  0.000
Na  0.000  0.000  0.500
Ta  0.667  0.333  0.250
Ta  0.333  0.667  0.750
Se  0.333  0.667  0.250
Se  0.667  0.333  0.750
O  0.607  0.632  0.149
O  0.025  0.393  0.149
O  0.393  0.025  0.649
O  0.975  0.607  0.851
O  0.368  0.393  0.351
O  0.025  0.632  0.351
O  0.632  0.025  0.851
O  0.607  0.975  0.351
O  0.975  0.368  0.649
O  0.368  0.975  0.149
O  0.632  0.607  0.649
O  0.393  0.368  0.851

=====

Compound: Na2TaSeO6
Source: Alexandria
Functional: PBE-GGA
Structure: relaxed

Properties
Formation energy (no corrections) ... -1.69 eV/atom
Space group ... No. 99
VASP energy ... -64.66 eV/f.u.
Size of the total moment ... 0.0 μB/cell

Cell: 4.093 5.477 5.477 Å, 90.00 90.00 90.00°
Sites, in units of the cell vectors:
Na  0.094  0.500  0.000
Na  0.094  0.000  0.500
Ta  0.623  0.500  0.500
Se  0.612  0.000  0.000
O  0.667  0.246  0.246
O  0.667  0.246  0.754
O  0.159  0.500  0.500
O  0.197  0.000  0.000
O  0.667  0.754  0.754
O  0.667  0.754  0.246